MnIrC: relaxed, GGA-PBE.

The value obtained for the energy above the lowest structure with this stoichiometry is 0 meV/atom. The value obtained for the energy of formation is 72 kJ/mol of formula units.

It has space group P4/mmm (No. 123), with a = 2.889 Å, b = 2.889 Å, c = 4.039 Å, α = 90.00°, β = 90.00° and γ = 90.00°. The asymmetric unit holds Mn at (0.000, 0.000, 0.000), Ir at (0.500, 0.500, 0.500) and C at (0.500, 0.500, 0.000).

MnIrC: relaxed, GGA-PBE.

The value obtained for the energy above the lowest structure with this stoichiometry is 50 meV/atom. The value obtained for the energy of formation is 86 kJ/mol of formula units.

It has space group R3m (No. 160, hexagonal axes), with a = 2.7442 Å, b = 2.7442 Å, c = 14.5650 Å, α = 90.00°, β = 90.00° and γ = 120.00°. The asymmetric unit holds Mn at (0.0000, 0.0000, 0.0000), Ir at (0.0000, 0.0000, 0.1833) and C at (0.0000, 0.0000, 0.4119).

Mn2IrC: relaxed, GGA-PBE.

The value obtained for the energy above the lowest structure with this stoichiometry is 1193 meV/atom. The value obtained for the energy of formation is 438 kJ/mol of formula units.

It has space group Fm-3m (No. 225), with a = 5.617 Å, b = 5.617 Å, c = 5.617 Å, α = 90.00°, β = 90.00° and γ = 90.00°. The asymmetric unit holds Mn at (0.250, 0.250, 0.250), Ir at (0.000, 0.000, 0.000) and C at (0.000, 0.000, 0.500).

MnIrC3: relaxed, GGA-PBE.

The value obtained for the energy of formation is 1034 kJ/mol of formula units.

It has space group Pm-3m (No. 221), with a = 3.733 Å, b = 3.733 Å, c = 3.733 Å, α = 90.00°, β = 90.00° and γ = 90.00°. The asymmetric unit holds Mn at (0.000, 0.000, 0.000), Ir at (0.500, 0.500, 0.500) and C at (0.000, 0.000, 0.500).

MnMo2IrC: relaxed, GGA-PBE.

The value obtained for the energy of formation is 6 kJ/mol of formula units.

It has space group P4/mmm (No. 123), with a = 4.112 Å, b = 4.112 Å, c = 3.835 Å, α = 90.00°, β = 90.00° and γ = 90.00°. The asymmetric unit holds Mn at (0.000, 0.000, 0.000), Mo at (0.000, 0.500, 0.500), Ir at (0.500, 0.500, 0.000) and C at (0.000, 0.000, 0.500).

Mn2MoIrC: relaxed, GGA-PBE.

The value obtained for the energy of formation is 13 kJ/mol of formula units.

It has space group P4/mmm (No. 123), with a = 3.817 Å, b = 3.817 Å, c = 4.089 Å, α = 90.00°, β = 90.00° and γ = 90.00°. The asymmetric unit holds Mn at (0.000, 0.500, 0.000), Mo at (0.000, 0.000, 0.500), Ir at (0.500, 0.500, 0.500) and C at (0.000, 0.000, 0.000).

Repeat the third record exactly.
Mn2IrC: relaxed, GGA-PBE.

The value obtained for the energy above the lowest structure with this stoichiometry is 1193 meV/atom. The value obtained for the energy of formation is 438 kJ/mol of formula units.

It has space group Fm-3m (No. 225), with a = 5.617 Å, b = 5.617 Å, c = 5.617 Å, α = 90.00°, β = 90.00° and γ = 90.00°. The asymmetric unit holds Mn at (0.250, 0.250, 0.250), Ir at (0.000, 0.000, 0.000) and C at (0.000, 0.000, 0.500).